The following is a DFT calculation (PBE) of an optimized crystal structure of Ti6ZnFe.

a = 5.751 Å, b = 9.545 Å, c = 5.564 Å
α = 90.00°, β = 118.15°, γ = 90.00°
Space group C2/m (No. 12)
Asymmetric unit:
Ti  0.233  0.213  0.243 [8 per cell]
Ti  0.236  0.000  0.765 [4 per cell]
Zn  0.000  0.500  0.500 [2 per cell]
Fe  0.000  0.000  0.000 [2 per cell]

* E: -6.91 eV/atom
* calculated formation energy: 228 meV per atom
* mass density: 5.0 g cm⁻³